VASP calculation (PBE) on an optimized crystal structure of Nd3Sm5Ho4.

Computed properties:
**Fermi-level density of states**: 1.2985 states/eV/atom
**Excess energy over the best structure of this formula in the dataset**: 0.0 kJ/mol of formula units
**Space group**: P-1, No. 2
**Energy of formation from the pure elements**: 15 meV per atom

Cell lengths 6.2481, 7.2072, 8.8314 Å; angles 90.07, 90.03, 90.09 degrees
Fractional positions:
1 Nd 0.0000 0.0000 0.0000
2 Nd 0.1659 0.7483 0.6651
3 Nd 0.8341 0.2517 0.3349
4 Sm 0.0000 0.5000 0.0000
5 Sm 0.3336 0.0000 0.3346
6 Sm 0.4986 0.2521 0.9996
7 Sm 0.5014 0.7479 0.0004
8 Sm 0.6664 0.0000 0.6654
9 Ho 0.1677 0.2523 0.6653
10 Ho 0.3341 0.5002 0.3347
11 Ho 0.6659 0.4998 0.6653
12 Ho 0.8323 0.7477 0.3347


VASP calculation (PBE) on an optimized crystal structure of SrNdRh.

Computed properties:
**Fermi-level density of states**: 0.6768 states/eV/atom
**Excess energy over the best structure of this formula in the dataset**: 18.7 kJ/mol of formula units
**Space group**: I4mm, No. 107
**Energy of formation from the pure elements**: -338 meV per atom

Cell lengths 7.3807, 7.3807, 7.3807 Å; angles 151.56, 151.56, 40.65 degrees
Fractional positions:
1 Sr 0.0000 0.0000 0.0000
2 Nd 0.2515 0.2515 0.0000
3 Rh 0.6472 0.6472 0.0000


VASP calculation (PBE) on an optimized crystal structure of Pm2Sm3Dy.

Computed properties:
**Fermi-level density of states**: 1.4854 states/eV/atom
**Excess energy over the best structure of this formula in the dataset**: 0.0 kJ/mol of formula units
**Space group**: C2/c, No. 15
**Energy of formation from the pure elements**: 61 meV per atom

Cell lengths 6.7280, 6.7280, 9.0788 Å; angles 97.81, 97.81, 95.12 degrees
Fractional positions:
1 Pm 0.1226 0.6265 0.8758
2 Pm 0.3735 0.8774 0.6242
3 Pm 0.6265 0.1226 0.3758
4 Pm 0.8774 0.3735 0.1242
5 Sm 0.1682 0.3353 0.5009
6 Sm 0.3353 0.1682 0.0009
7 Sm 0.4154 0.5846 0.2500
8 Sm 0.5846 0.4154 0.7500
9 Sm 0.6647 0.8318 0.9991
10 Sm 0.8318 0.6647 0.4991
11 Dy 0.0823 0.9177 0.2500
12 Dy 0.9177 0.0823 0.7500


VASP calculation (PBE) on an optimized crystal structure of Tm2Ga4Pt3.

Computed properties:
**Fermi-level density of states**: 0.4869 states/eV/atom
**Space group**: Fmmm, No. 69
**Energy of formation from the pure elements**: -788 meV per atom

Cell lengths 7.9563, 6.9449, 5.4754 Å; angles 78.69, 58.86, 42.44 degrees
Fractional positions:
1 Tm 0.1260 0.1260 0.8740
2 Tm 0.8740 0.8740 0.1260
3 Ga 0.1654 0.4972 0.5028
4 Ga 0.4972 0.1654 0.8346
5 Ga 0.5028 0.8346 0.1654
6 Ga 0.8346 0.5028 0.4972
7 Pt 0.0000 0.0000 0.5000
8 Pt 0.5000 0.5000 0.0000
9 Pt 0.5000 0.5000 0.5000


VASP calculation (PBE) on an optimized crystal structure of NaV2ZnAu.

Computed properties:
**Fermi-level density of states**: 1.7966 states/eV/atom
**Space group**: P4/mmm, No. 123
**Energy of formation from the pure elements**: 1628 meV per atom

Cell lengths 4.8918, 4.8918, 4.8055 Å; angles 90.00, 90.00, 90.00 degrees
Fractional positions:
1 Na 0.0000 0.0000 0.0000
2 V 0.0000 0.5000 0.0000
3 V 0.5000 0.0000 0.0000
4 Zn 0.5000 0.5000 0.5000
5 Au 0.0000 0.0000 0.5000


VASP calculation (PBE) on an optimized crystal structure of GaFe2MoN.

Computed properties:
**Fermi-level density of states**: 0.5488 states/eV/atom
**Formation energy (no corrections)**: -1.0 eV/f.u.
**Space group**: P4/mmm, No. 123

Cell lengths 3.8312, 3.8312, 4.0967 Å; angles 90.00, 90.00, 90.00 degrees
Fractional positions:
1 Ga 0.0000 0.0000 0.0000
2 Fe 0.0000 0.5000 0.5000
3 Fe 0.5000 0.0000 0.5000
4 Mo 0.5000 0.5000 0.0000
5 N 0.5000 0.5000 0.5000


VASP calculation (PBE) on an optimized crystal structure of RbTaInOs2.

Computed properties:
**Fermi-level density of states**: 1.8030 states/eV/atom
**Space group**: P4/mmm, No. 123
**Energy of formation from the pure elements**: 2600 meV per atom

Cell lengths 5.0414, 5.0414, 5.1395 Å; angles 90.00, 90.00, 90.00 degrees
Fractional positions:
1 Rb 0.0000 0.0000 0.0000
2 Ta 0.5000 0.5000 0.0000
3 In 0.5000 0.5000 0.5000
4 Os 0.0000 0.5000 0.5000
5 Os 0.5000 0.0000 0.5000


VASP calculation (PBE) on an optimized crystal structure of Ho3TlIr2.

Computed properties:
**Fermi-level density of states**: 0.7760 states/eV/atom
**Space group**: P4/mmm, No. 123
**Energy of formation from the pure elements**: -697 meV per atom

Cell lengths 3.3788, 3.3788, 11.9348 Å; angles 90.00, 90.00, 90.00 degrees
Fractional positions:
1 Ho 0.0000 0.0000 0.0000
2 Ho 0.0000 0.0000 0.2884
3 Ho 0.0000 0.0000 0.7116
4 Tl 0.5000 0.5000 0.5000
5 Ir 0.5000 0.5000 0.1503
6 Ir 0.5000 0.5000 0.8497


VASP calculation (PBE) on an optimized crystal structure of TaGaSeBr2.

Computed properties:
**Fermi-level density of states**: 0.4977 states/eV/atom
**Excess energy over the best structure of this formula in the dataset**: 0.0 kJ/mol of formula units
**Formation energy (no corrections)**: -0.9 eV/f.u.
**Space group**: P4/mmm, No. 123

Cell lengths 5.2235, 5.2235, 5.0570 Å; angles 90.00, 90.00, 90.00 degrees
Fractional positions:
1 Ta 0.0000 0.0000 0.0000
2 Ga 0.5000 0.5000 0.5000
3 Se 0.0000 0.0000 0.5000
4 Br 0.0000 0.5000 0.0000
5 Br 0.5000 0.0000 0.0000


VASP calculation (PBE) on an optimized crystal structure of Zn2Fe2Ag.

Computed properties:
**Fermi-level density of states**: 0.7767 states/eV/atom
**Excess energy over the best structure of this formula in the dataset**: 48.0 kJ/mol of formula units
**Space group**: I4/mmm, No. 139
**Energy of formation from the pure elements**: 286 meV per atom

Cell lengths 6.9793, 6.9793, 6.9793 Å; angles 151.93, 151.93, 40.12 degrees
Fractional positions:
1 Zn 0.1020 0.1020 0.0000
2 Zn 0.8980 0.8980 0.0000
3 Fe 0.2500 0.7500 0.5000
4 Fe 0.7500 0.2500 0.5000
5 Ag 0.5000 0.5000 0.0000


VASP calculation (PBE) on an optimized crystal structure of Fe5Bi3Se12.

Computed properties:
**Fermi-level density of states**: 0.7092 states/eV/atom
**Formation energy (no corrections)**: -3.7 eV/f.u.
**Space group**: Ia-3d, No. 230

Cell lengths 13.5652, 13.5652, 13.5652 Å; angles 109.47, 109.47, 109.47 degrees
Fractional positions:
1 Fe 0.0000 0.0000 0.0000
2 Fe 0.0000 0.0000 0.5000
3 Fe 0.0000 0.5000 0.0000
4 Fe 0.0000 0.5000 0.5000
5 Fe 0.1250 0.7500 0.8750
6 Fe 0.1250 0.8750 0.2500
7 Fe 0.2500 0.1250 0.8750
8 Fe 0.2500 0.6250 0.3750
9 Fe 0.3750 0.2500 0.6250
10 Fe 0.3750 0.6250 0.7500
11 Fe 0.5000 0.0000 0.0000
12 Fe 0.5000 0.0000 0.5000
13 Fe 0.5000 0.5000 0.0000
14 Fe 0.5000 0.5000 0.5000
15 Fe 0.6250 0.3750 0.2500
16 Fe 0.6250 0.7500 0.3750
17 Fe 0.7500 0.3750 0.6250
18 Fe 0.7500 0.8750 0.1250
19 Fe 0.8750 0.1250 0.7500
20 Fe 0.8750 0.2500 0.1250
21 Bi 0.1250 0.2500 0.3750
22 Bi 0.1250 0.3750 0.7500
23 Bi 0.2500 0.3750 0.1250
24 Bi 0.2500 0.8750 0.6250
25 Bi 0.3750 0.1250 0.2500
26 Bi 0.3750 0.7500 0.1250
27 Bi 0.6250 0.2500 0.8750
28 Bi 0.6250 0.8750 0.7500
29 Bi 0.7500 0.1250 0.3750
30 Bi 0.7500 0.6250 0.8750
31 Bi 0.8750 0.6250 0.2500
32 Bi 0.8750 0.7500 0.6250
33 Se 0.0229 0.2014 0.1148
34 Se 0.0229 0.3215 0.9081
35 Se 0.0866 0.7014 0.6785
36 Se 0.0866 0.8852 0.4081
37 Se 0.0919 0.6148 0.4134
38 Se 0.0919 0.9771 0.6785
39 Se 0.1148 0.0229 0.2014
40 Se 0.1148 0.5919 0.9134
41 Se 0.1785 0.2014 0.5866
42 Se 0.1785 0.4771 0.5919
43 Se 0.2014 0.1148 0.0229
44 Se 0.2014 0.5866 0.1785
45 Se 0.2986 0.3215 0.9134
46 Se 0.2986 0.4771 0.3852
47 Se 0.3215 0.9081 0.0229
48 Se 0.3215 0.9134 0.2986
49 Se 0.3852 0.2986 0.4771
50 Se 0.3852 0.5866 0.9081
51 Se 0.4081 0.0866 0.8852
52 Se 0.4081 0.8215 0.5229
53 Se 0.4134 0.0919 0.6148
54 Se 0.4134 0.8215 0.7986
55 Se 0.4771 0.3852 0.2986
56 Se 0.4771 0.5919 0.1785
57 Se 0.5229 0.4081 0.8215
58 Se 0.5229 0.6148 0.7014
59 Se 0.5866 0.1785 0.2014
60 Se 0.5866 0.9081 0.3852
61 Se 0.5919 0.1785 0.4771
62 Se 0.5919 0.9134 0.1148
63 Se 0.6148 0.4134 0.0919
64 Se 0.6148 0.7014 0.5229
65 Se 0.6785 0.0866 0.7014
66 Se 0.6785 0.0919 0.9771
67 Se 0.7014 0.5229 0.6148
68 Se 0.7014 0.6785 0.0866
69 Se 0.7986 0.4134 0.8215
70 Se 0.7986 0.8852 0.9771
71 Se 0.8215 0.5229 0.4081
72 Se 0.8215 0.7986 0.4134
73 Se 0.8852 0.4081 0.0866
74 Se 0.8852 0.9771 0.7986
75 Se 0.9081 0.0229 0.3215
76 Se 0.9081 0.3852 0.5866
77 Se 0.9134 0.1148 0.5919
78 Se 0.9134 0.2986 0.3215
79 Se 0.9771 0.6785 0.0919
80 Se 0.9771 0.7986 0.8852


VASP calculation (PBE) on an optimized crystal structure of Sr4Ac3S8.

Computed properties:
**Fermi-level density of states**: 0.1929 states/eV/atom
**Formation energy (no corrections)**: -31.1 eV/f.u.
**Space group**: C2/m, No. 12

Cell lengths 8.5601, 8.5601, 8.5778 Å; angles 119.64, 119.64, 90.33 degrees
Fractional positions:
1 Sr 0.0000 0.0000 0.0000
2 Sr 0.0000 0.0000 0.5000
3 Sr 0.0000 0.5000 0.0000
4 Sr 0.5000 0.0000 0.0000
5 Ac 0.0000 0.5000 0.5000
6 Ac 0.5000 0.0000 0.5000
7 Ac 0.5000 0.5000 0.0000
8 S 0.2444 0.7556 0.5000
9 S 0.2454 0.2454 0.9842
10 S 0.2468 0.2468 0.5019
11 S 0.2494 0.7506 0.0000
12 S 0.7506 0.2494 0.0000
13 S 0.7532 0.7532 0.4981
14 S 0.7546 0.7546 0.0158
15 S 0.7556 0.2444 0.5000


VASP calculation (PBE) on an optimized crystal structure of CeCdPd.

Computed properties:
**Fermi-level density of states**: 1.0285 states/eV/atom
**Space group**: C2/m, No. 12
**Energy of formation from the pure elements**: -417 meV per atom

Cell lengths 5.0991, 5.0991, 7.7234 Å; angles 104.85, 104.85, 40.45 degrees
Fractional positions:
1 Ce 0.1627 0.1627 0.0878
2 Ce 0.8373 0.8373 0.9122
3 Cd 0.1556 0.1556 0.5623
4 Cd 0.8444 0.8444 0.4377
5 Pd 0.4977 0.4977 0.7371
6 Pd 0.5023 0.5023 0.2629


VASP calculation (PBE) on an optimized crystal structure of TaNi2Sn.

Computed properties:
**Fermi-level density of states**: 1.4188 states/eV/atom
**Space group**: I-42d, No. 122
**Energy of formation from the pure elements**: 298 meV per atom

Cell lengths 5.6271, 5.6271, 5.6271 Å; angles 104.14, 104.14, 120.75 degrees
Fractional positions:
1 Ta 0.0000 0.0000 0.0000
2 Ta 0.7500 0.2500 0.5000
3 Ni 0.1152 0.6250 0.9902
4 Ni 0.3750 0.3652 0.4902
5 Ni 0.6348 0.1250 0.0098
6 Ni 0.8750 0.8848 0.5098
7 Sn 0.2500 0.7500 0.5000
8 Sn 0.5000 0.5000 0.0000


VASP calculation (PBE) on an optimized crystal structure of SrZnHg2F8.

Computed properties:
**Fermi-level density of states**: 0.0000 states/eV/atom
**Formation energy (no corrections)**: -26.8 eV/f.u.
**Space group**: P2/m, No. 10

Cell lengths 4.4958, 7.4791, 5.4787 Å; angles 90.00, 90.20, 90.00 degrees
Fractional positions:
1 Sr 0.0000 0.0000 0.0000
2 Zn 0.0000 0.5000 0.0000
3 Hg 0.5000 0.2642 0.5000
4 Hg 0.5000 0.7358 0.5000
5 F 0.1134 0.2802 0.7736
6 F 0.1134 0.7198 0.7736
7 F 0.3604 0.5000 0.2330
8 F 0.4505 0.0000 0.2528
9 F 0.5495 0.0000 0.7472
10 F 0.6396 0.5000 0.7670
11 F 0.8866 0.2802 0.2264
12 F 0.8866 0.7198 0.2264


VASP calculation (PBE) on an optimized crystal structure of NdYSiS.

Computed properties:
**Fermi-level density of states**: 0.4001 states/eV/atom
**Formation energy (no corrections)**: -5.5 eV/f.u.
**Space group**: R3m, No. 160

Cell lengths 7.1808, 7.1808, 7.1808 Å; angles 33.15, 33.15, 33.15 degrees
Fractional positions:
1 Nd 0.0000 0.0000 0.0000
2 Y 0.5006 0.5006 0.5006
3 Si 0.2478 0.2478 0.2478
4 S 0.7538 0.7538 0.7538


VASP calculation (PBE) on an optimized crystal structure of TiZn2Cu.

Computed properties:
**Fermi-level density of states**: 0.7371 states/eV/atom
**Space group**: P4/mmm, No. 123
**Energy of formation from the pure elements**: -97 meV per atom

Cell lengths 3.7930, 3.7930, 4.0507 Å; angles 90.00, 90.00, 90.00 degrees
Fractional positions:
1 Ti 0.0000 0.0000 0.0000
2 Zn 0.0000 0.5000 0.5000
3 Zn 0.5000 0.0000 0.5000
4 Cu 0.5000 0.5000 0.0000


VASP calculation (PBE) on an optimized crystal structure of Nb2IrOsF.

Computed properties:
**Fermi-level density of states**: 1.0824 states/eV/atom
**Formation energy (no corrections)**: 3.4 eV/f.u.
**Space group**: P4/mmm, No. 123

Cell lengths 4.9072, 4.9072, 3.8237 Å; angles 90.00, 90.00, 90.00 degrees
Fractional positions:
1 Nb 0.0000 0.5000 0.0000
2 Nb 0.5000 0.0000 0.0000
3 Ir 0.0000 0.0000 0.5000
4 Os 0.5000 0.5000 0.0000
5 F 0.5000 0.5000 0.5000


VASP calculation (PBE) on an optimized crystal structure of BAuO.

Computed properties:
**Fermi-level density of states**: 0.1789 states/eV/atom
**Formation energy (no corrections)**: -2.2 eV/f.u.
**Space group**: C2/m, No. 12

Cell lengths 7.7410, 7.7410, 4.3556 Å; angles 97.88, 97.88, 19.36 degrees
Fractional positions:
1 B 0.1930 0.1930 0.0059
2 B 0.8070 0.8070 0.9941
3 Au 0.0630 0.0630 0.7706
4 Au 0.9370 0.9370 0.2294
5 O 0.2756 0.2756 0.8256
6 O 0.7244 0.7244 0.1744


VASP calculation (PBE) on an optimized crystal structure of K2EuPb.

Computed properties:
**Fermi-level density of states**: 1.8217 states/eV/atom
**Space group**: R-3m, No. 166
**Energy of formation from the pure elements**: 220 meV per atom

Cell lengths 14.6979, 14.6979, 14.6979 Å; angles 15.02, 15.02, 15.02 degrees
Fractional positions:
1 K 0.0811 0.0811 0.0811
2 K 0.9189 0.9189 0.9189
3 Eu 0.5000 0.5000 0.5000
4 Pb 0.0000 0.0000 0.0000